VASP calculation (GGA-PBE) on a relaxed structure of SmRe7N12.

Output
- DFT total energy (eV/atom) = -9.235

Cell lengths 7.670, 7.670, 7.670 Å; angles 90.00, 90.00, 90.00 degrees
Space group Im-3 (No. 204)
One atom of each set of equivalent atoms:
Sm  0.000  0.000  0.000
Re  0.000  0.000  0.500
Re  0.250  0.250  0.250
N  0.000  0.181  0.307